Entry w
PBE P2Pt2W, optimized geometry; symmetry = P4/mbm, No. 127
1.0
6.680 0.000 0.000
0.000 6.680 0.000
0.000 0.000 3.324
P W Pt
4 2 4
direct
0.341 0.841 0.000 P
0.841 0.659 0.000 P
0.659 0.159 0.000 P
0.159 0.341 0.000 P
0.000 0.000 0.000 W
0.500 0.500 0.000 W
0.150 0.650 0.500 Pt
0.650 0.850 0.500 Pt
0.850 0.350 0.500 Pt
0.350 0.150 0.500 Pt

Entry x
PBE P2Pt2W, optimized geometry; symmetry = I4/mmm, No. 139
1.0
-0.696 -4.238 1.912
1.476 -2.034 -3.973
3.780 -3.127 0.223
P W Pt
2 1 2
direct
0.341 0.341 0.317 P
0.659 0.659 0.683 P
0.000 0.000 0.000 W
0.750 0.250 0.500 Pt
0.250 0.750 0.500 Pt

It turns out entry w is the most stable, with the second structure 303 meV per atom higher.

Entry w
PBE PPtW, optimized geometry; symmetry = P3m1, No. 156
1.0
0.628 -0.278 -4.123
-2.687 -2.589 1.884
-2.229 1.970 -0.473
P Pt W
1 1 1
direct
0.000 0.000 0.906 P
0.333 0.667 0.288 Pt
0.667 0.333 0.807 W

Entry x
PBE PPtW, optimized geometry; symmetry = F-43m, No. 216
1.0
-1.556 -3.749 0.094
-1.005 -1.692 3.551
-3.908 -0.552 0.952
P Pt W
1 1 1
direct
0.250 0.250 0.250 P
0.000 0.000 0.000 Pt
0.500 0.500 0.500 W

Entry y
PBE PPtW, optimized geometry; symmetry = F-43m, No. 216
1.0
0.000 2.980 2.980
2.980 0.000 2.980
2.980 2.980 0.000
P Pt W
1 1 1
direct
0.000 0.000 0.000 P
0.500 0.500 0.500 Pt
0.250 0.250 0.250 W

It turns out entry x is the most stable, with the second structure 77 meV per atom higher.

Entry w
PBE PPtW, optimized geometry; symmetry = C2/m, No. 12
1.0
-5.798 -0.187 -3.302
-5.587 -3.292 -1.582
1.276 2.813 4.920
Pt P W
2 2 2
direct
0.889 0.889 0.707 Pt
0.111 0.111 0.293 Pt
0.673 0.673 0.641 P
0.327 0.327 0.359 P
0.128 0.128 0.831 W
0.872 0.872 0.169 W

Entry x
PBE PPtW, optimized geometry; symmetry = I4mm, No. 107
1.0
3.973 -0.119 3.492
0.144 0.683 5.244
-2.369 -2.384 -4.086
P Pt W
1 1 1
direct
0.984 0.984 0.000 P
0.661 0.661 0.000 Pt
0.355 0.355 0.000 W

It turns out entry x is the most stable, with the second structure 40 meV per atom higher.

Entry w
PBE PPtW3, optimized geometry; symmetry = Pm-3m, No. 221
1.0
4.787 0.000 0.000
0.000 4.787 0.000
0.000 0.000 4.787
P W Pt
1 3 1
direct
0.500 0.500 0.500 P
0.000 0.500 0.000 W
0.000 0.000 0.500 W
0.500 0.000 0.000 W
0.000 0.000 0.000 Pt

Entry x
PBE PPtW3, optimized geometry; symmetry = Pm-3m, No. 221
1.0
-2.296 2.797 -2.529
-3.237 0.056 3.001
1.934 3.415 2.022
P W Pt
1 3 1
direct
0.000 0.000 0.000 P
0.000 0.500 0.000 W
0.000 0.000 0.500 W
0.500 0.000 0.000 W
0.500 0.500 0.500 Pt

It turns out entry x is the most stable, with the second structure 1501 meV per atom higher.

Entry w
PBE YPPt3, optimized geometry; symmetry = Pm-3m, No. 221
1.0
4.595 0.000 0.000
0.000 4.595 0.000
0.000 0.000 4.595
Y P Pt
1 1 3
direct
0.500 0.500 0.500 Y
0.000 0.000 0.000 P
0.000 0.500 0.000 Pt
0.000 0.000 0.500 Pt
0.500 0.000 0.000 Pt

Entry x
PBE YPPt3, optimized geometry; symmetry = I4mm, No. 107
1.0
-3.574 1.810 -0.172
-1.821 -3.552 0.387
-2.661 -0.289 5.572
Y P Pt
1 1 3
direct
0.399 0.202 0.907 Y
0.020 0.824 0.665 P
0.636 0.940 0.433 Pt
0.137 0.440 0.433 Pt
0.816 0.620 0.073 Pt

It turns out entry x is the most stable, with the second structure 340 meV per atom higher.

Entry w
PBE YP2Pt, optimized geometry; symmetry = R-3m, No. 166
1.0
-4.420 3.647 1.337
-5.598 1.108 -1.435
-5.403 -0.037 2.329
P Pt Y
2 1 1
direct
0.983 0.983 0.983 P
0.517 0.517 0.517 P
0.250 0.250 0.250 Pt
0.750 0.750 0.750 Y

Entry x
PBE YP2Pt, optimized geometry; symmetry = Imm2, No. 44
1.0
-4.651 -3.056 -2.435
-0.637 -5.946 -1.068
1.594 4.213 4.075
P Pt Y
2 1 1
direct
0.981 0.981 0.000 P
0.693 0.193 0.500 P
0.539 0.539 0.000 Pt
0.287 0.787 0.500 Y

It turns out entry w is the most stable, with the second structure 115 meV per atom higher.

Entry w
PBE YP2Pt, optimized geometry; symmetry = I-42d, No. 122
1.0
4.380 0.000 0.000
0.000 4.380 0.000
2.190 2.190 8.369
Y P Pt
2 4 2
direct
0.500 0.500 0.000 Y
0.250 0.750 0.500 Y
0.755 0.125 0.250 P
0.995 0.625 0.250 P
0.375 0.245 0.750 P
0.875 0.005 0.750 P
0.000 0.000 0.000 Pt
0.750 0.250 0.500 Pt

Entry x
PBE YP2Pt, optimized geometry; symmetry = I-4m2, No. 119
1.0
-1.359 4.927 2.298
-4.543 2.652 1.932
-0.222 -0.319 3.912
P Pt Y
2 1 1
direct
0.073 0.073 0.552 P
0.302 0.302 0.323 P
0.437 0.437 0.688 Pt
0.687 0.687 0.937 Y

Entry y
PBE YP2Pt, optimized geometry; symmetry = F-43m, No. 216
1.0
-4.638 0.177 -0.710
-2.829 -3.033 2.200
-2.843 1.500 3.422
P Pt Y
2 1 1
direct
0.000 0.000 0.000 P
0.250 0.250 0.250 P
0.500 0.500 0.500 Pt
0.750 0.750 0.750 Y

Entry z
PBE YP2Pt, optimized geometry; symmetry = P4/mmm, No. 123
1.0
-0.457 -3.000 1.906
3.407 0.186 1.110
-1.626 3.089 4.473
P Pt Y
2 1 1
direct
0.000 0.000 0.058 P
0.000 0.000 0.442 P
0.500 0.500 0.250 Pt
0.500 0.500 0.750 Y

It turns out entry x is the most stable, with the second structure 384 meV per atom higher.

Entry w
PBE YP2Pt, optimized geometry; symmetry = Pm, No. 6
1.0
-2.819 -1.891 2.854
-2.338 -1.144 -3.067
2.141 -3.859 -0.442
P Pt Y
2 1 1
direct
0.000 0.131 0.989 P
0.500 0.287 0.257 P
0.000 0.315 0.492 Pt
0.500 0.768 0.762 Y

Entry x
PBE YP2Pt, optimized geometry; symmetry = Fm-3m, No. 225
1.0
0.000 3.269 3.269
3.269 0.000 3.269
3.269 3.269 0.000
Y P Pt
1 2 1
direct
0.000 0.000 0.000 Y
0.250 0.250 0.250 P
0.750 0.750 0.750 P
0.500 0.500 0.500 Pt

Entry y
PBE YP2Pt, optimized geometry; symmetry = Cmmm, No. 65
1.0
-2.935 2.156 0.178
-0.619 -3.351 -1.298
-1.188 -2.114 6.027
P Pt Y
2 1 1
direct
0.000 0.000 0.039 P
0.000 0.000 0.461 P
0.500 0.500 0.250 Pt
0.500 0.500 0.750 Y

It turns out entry w is the most stable, with the second structure 190 meV per atom higher.

Entry w
PBE YP2Pt, optimized geometry; symmetry = Immm, No. 71
1.0
-3.122 3.680 -0.100
-0.543 -0.777 -4.733
-1.057 -2.716 3.848
P Pt Y
2 1 1
direct
0.946 0.946 0.000 P
0.554 0.554 0.000 P
0.750 0.250 0.500 Pt
0.250 0.750 0.500 Y

Entry x
PBE YP2Pt, optimized geometry; symmetry = P2/m, No. 10
1.0
3.887 0.000 0.000
0.000 4.107 0.000
0.000 0.350 4.876
P Pt Y
2 1 1
direct
0.000 0.154 0.974 P
0.000 0.346 0.526 P
0.500 0.250 0.250 Pt
0.500 0.750 0.750 Y

Entry y
PBE YP2Pt, optimized geometry; symmetry = P4mm, No. 99
1.0
3.620 0.000 0.000
0.000 3.620 0.000
0.000 0.000 5.653
P Pt Y
2 1 1
direct
0.000 0.000 0.974 P
0.500 0.500 0.311 P
0.000 0.000 0.409 Pt
0.500 0.500 0.806 Y

Entry z
PBE YP2Pt, optimized geometry; symmetry = Pnma, No. 62
1.0
-1.918 5.883 -0.741
-5.422 -1.331 3.466
3.447 1.894 6.119
Y P Pt
4 8 4
direct
0.748 0.750 0.001 Y
0.248 0.250 0.499 Y
0.252 0.250 0.999 Y
0.752 0.750 0.501 Y
0.093 0.941 0.249 P
0.593 0.059 0.251 P
0.907 0.441 0.751 P
0.407 0.559 0.749 P
0.907 0.059 0.751 P
0.407 0.941 0.749 P
0.093 0.559 0.249 P
0.593 0.441 0.251 P
0.250 0.750 0.499 Pt
0.750 0.250 0.001 Pt
0.750 0.250 0.501 Pt
0.250 0.750 0.999 Pt

It turns out entry x is the most stable, with the second structure 68 meV per atom higher.

Entry w
PBE Zn3PPt, optimized geometry; symmetry = Pm-3m, No. 221
1.0
4.533 0.000 0.000
0.000 4.533 0.000
0.000 0.000 4.533
P Zn Pt
1 3 1
direct
0.000 0.000 0.000 P
0.000 0.500 0.000 Zn
0.000 0.000 0.500 Zn
0.500 0.000 0.000 Zn
0.500 0.500 0.500 Pt

Entry x
PBE Zn3PPt, optimized geometry; symmetry = Pm-3m, No. 221
1.0
4.775 0.000 0.000
0.000 4.775 0.000
0.000 0.000 4.775
P Zn Pt
1 3 1
direct
0.500 0.500 0.500 P
0.000 0.500 0.000 Zn
0.000 0.000 0.500 Zn
0.500 0.000 0.000 Zn
0.000 0.000 0.000 Pt

It turns out entry x is the most stable, with the second structure 31 meV per atom higher.

Entry w
PBE Zn2PPt2, optimized geometry; symmetry = I4/mmm, No. 139
1.0
3.412 0.000 0.000
0.000 3.412 0.000
1.706 1.706 6.684
P Zn Pt
1 2 2
direct
0.000 0.000 0.000 P
0.750 0.250 0.500 Zn
0.250 0.750 0.500 Zn
0.401 0.401 0.199 Pt
0.599 0.599 0.801 Pt

Entry x
PBE Zn2PPt2, optimized geometry; symmetry = P4/mbm, No. 127
1.0
7.465 0.000 0.000
0.000 7.465 0.000
0.000 0.000 2.813
P Zn Pt
2 4 4
direct
0.000 0.000 0.000 P
0.500 0.500 0.000 P
0.369 0.869 0.000 Zn
0.869 0.631 0.000 Zn
0.631 0.131 0.000 Zn
0.131 0.369 0.000 Zn
0.165 0.665 0.500 Pt
0.665 0.835 0.500 Pt
0.835 0.335 0.500 Pt
0.335 0.165 0.500 Pt

It turns out entry w is the most stable, with the second structure 10 meV per atom higher.